i.
# Dy3HoAl2, optimized geometry, DFT GGA-PBE
# Crystal system = monoclinic
# D(E_F) = 5.514 states/eV/cell
data_Dy3HoAl2
_chemical_formula_sum 'Dy3 Ho1 Al2'
_space_group_name_H-M_alt 'P 1 2/m 1'
_space_group_IT_number 10
_cell_length_a 4.802
_cell_length_b 4.378
_cell_length_c 7.776
_cell_angle_alpha 90.00
_cell_angle_beta 107.91
_cell_angle_gamma 90.00
loop_
_space_group_symop_operation_xyz
'x,y,z'
'-x,-y,-z'
'-x,y,-z'
'x,-y,z'
loop_
_atom_site_label
_atom_site_type_symbol
_atom_site_fract_x
_atom_site_fract_y
_atom_site_fract_z
Dy1 Dy 0.000 0.000 0.000
Dy2 Dy 0.326 0.000 0.651
Ho1 Ho 0.500 0.500 0.000
Al1 Al 0.157 0.500 0.313

---

ii.
# Dy3HoAl2, optimized geometry, DFT GGA-PBE
# Crystal system = orthorhombic
# D(E_F) = 9.343 states/eV/cell
data_Dy3HoAl2
_chemical_formula_sum 'Dy6 Ho2 Al4'
_space_group_name_H-M_alt 'P m c 21'
_space_group_IT_number 26
_cell_length_a 5.092
_cell_length_b 9.461
_cell_length_c 6.538
_cell_angle_alpha 90.00
_cell_angle_beta 90.00
_cell_angle_gamma 90.00
loop_
_space_group_symop_operation_xyz
'x,y,z'
'-x,-y,z+1/2'
'-x,y,z'
'x,-y,z+1/2'
loop_
_atom_site_label
_atom_site_type_symbol
_atom_site_fract_x
_atom_site_fract_y
_atom_site_fract_z
Dy1 Dy 0.000 0.041 0.000
Dy2 Dy 0.000 0.324 0.341
Dy3 Dy 0.500 0.178 0.715
Ho1 Ho 0.500 0.459 0.055
Al1 Al 0.000 0.353 0.821
Al2 Al 0.500 0.147 0.235

---

It is i that is the least stable of them.

---

i.
# DyHo3Al8, optimized geometry, DFT GGA-PBE
# Crystal system = trigonal
# D(E_F) = 5.765 states/eV/cell
data_DyHo3Al8
_chemical_formula_sum 'Dy1 Ho3 Al8'
_space_group_name_H-M_alt 'P 3 m 1'
_space_group_IT_number 156
_cell_length_a 5.5391
_cell_length_b 5.5391
_cell_length_c 9.0919
_cell_angle_alpha 90.00
_cell_angle_beta 90.00
_cell_angle_gamma 120.00
loop_
_space_group_symop_operation_xyz
'x,y,z'
'-y,x-y,z'
'-x+y,-x,z'
'-y,-x,z'
'-x+y,y,z'
'x,x-y,z'
loop_
_atom_site_label
_atom_site_type_symbol
_atom_site_fract_x
_atom_site_fract_y
_atom_site_fract_z
Dy1 Dy 0.0000 0.0000 0.0000
Ho1 Ho 0.0000 0.0000 0.3646
Ho2 Ho 0.6667 0.3333 0.4998
Ho3 Ho 0.6667 0.3333 0.8645
Al1 Al 0.1621 0.3242 0.6820
Al2 Al 0.3333 0.6667 0.4325
Al3 Al 0.3333 0.6667 0.9322
Al4 Al 0.5046 0.0092 0.1827

---

ii.
# DyHo3Al8, optimized geometry, DFT GGA-PBE
# Crystal system = trigonal
# D(E_F) = 30.427 states/eV/cell
data_DyHo3Al8
_chemical_formula_sum 'Dy3 Ho9 Al24'
_space_group_name_H-M_alt 'R 3 m'
_space_group_IT_number 160
_space_group_name_Hall 'R 3 -2"'
_cell_length_a 5.5392
_cell_length_b 5.5392
_cell_length_c 27.2707
_cell_angle_alpha 90.00
_cell_angle_beta 90.00
_cell_angle_gamma 120.00
loop_
_atom_site_label
_atom_site_type_symbol
_atom_site_fract_x
_atom_site_fract_y
_atom_site_fract_z
Dy1 Dy 0.0000 0.0000 0.0000
Ho1 Ho 0.0000 0.0000 0.1246
Ho2 Ho 0.0000 0.0000 0.5001
Ho3 Ho 0.0000 0.0000 0.6246
Al1 Al 0.0000 0.0000 0.3123
Al2 Al 0.0000 0.0000 0.8124
Al3 Al 0.0000 0.5000 0.0624
Al4 Al 0.9999 0.5000 0.5622

---

It is i that is the least stable of them.

---

i.
# Dy2Ho2Al, optimized geometry, DFT GGA-PBE
# Crystal system = trigonal
# D(E_F) = 17.879 states/eV/cell
data_Dy2Ho2Al
_chemical_formula_sum 'Dy6 Ho6 Al3'
_space_group_name_H-M_alt 'R -3 m'
_space_group_IT_number 166
_space_group_name_Hall '-R 3 2"'
_cell_length_a 4.9450
_cell_length_b 4.9450
_cell_length_c 25.4567
_cell_angle_alpha 90.00
_cell_angle_beta 90.00
_cell_angle_gamma 120.00
loop_
_atom_site_label
_atom_site_type_symbol
_atom_site_fract_x
_atom_site_fract_y
_atom_site_fract_z
Dy1 Dy 0.0000 0.0000 0.0672
Ho1 Ho 0.0000 0.0000 0.1995
Al1 Al 0.0000 0.0000 0.5000

---

ii.
# Dy2Ho2Al, optimized geometry, DFT GGA-PBE
# Crystal system = monoclinic
# D(E_F) = 13.876 states/eV/cell
data_Dy2Ho2Al
_chemical_formula_sum 'Dy4 Ho4 Al2'
_space_group_name_H-M_alt 'C 1 2/m 1'
_space_group_IT_number 12
_cell_length_a 12.436
_cell_length_b 3.679
_cell_length_c 8.768
_cell_angle_alpha 90.00
_cell_angle_beta 134.58
_cell_angle_gamma 90.00
loop_
_space_group_symop_operation_xyz
'x,y,z'
'-x,-y,-z'
'-x,y,-z'
'x,-y,z'
'x+1/2,y+1/2,z'
'-x+1/2,-y+1/2,-z'
'-x+1/2,y+1/2,-z'
'x+1/2,-y+1/2,z'
loop_
_atom_site_label
_atom_site_type_symbol
_atom_site_fract_x
_atom_site_fract_y
_atom_site_fract_z
Dy1 Dy 0.084 0.000 0.357
Ho1 Ho 0.233 0.500 0.818
Al1 Al 0.000 0.500 0.000

---

It is i that is the least stable of them.

---

i.
# Dy3HoAl, optimized geometry, DFT GGA-PBE
# Crystal system = trigonal
# D(E_F) = 25.824 states/eV/cell
data_Dy3HoAl
_chemical_formula_sum 'Dy9 Ho3 Al3'
_space_group_name_H-M_alt 'R 3 m'
_space_group_IT_number 160
_space_group_name_Hall 'R 3 -2"'
_cell_length_a 8.2255
_cell_length_b 8.2255
_cell_length_c 8.4136
_cell_angle_alpha 90.00
_cell_angle_beta 90.00
_cell_angle_gamma 120.00
loop_
_atom_site_label
_atom_site_type_symbol
_atom_site_fract_x
_atom_site_fract_y
_atom_site_fract_z
Dy1 Dy 0.0594 0.5297 0.0000
Ho1 Ho 0.0000 0.0000 0.9691
Al1 Al 0.0000 0.0000 0.6026

---

ii.
# Dy3HoAl, optimized geometry, DFT GGA-PBE
# Crystal system = monoclinic
# D(E_F) = 25.704 states/eV/cell
data_Dy3HoAl
_chemical_formula_sum 'Dy12 Ho4 Al4'
_space_group_name_H-M_alt 'C 1 2/m 1'
_space_group_IT_number 12
_cell_length_a 12.879
_cell_length_b 3.582
_cell_length_c 12.404
_cell_angle_alpha 90.00
_cell_angle_beta 95.27
_cell_angle_gamma 90.00
loop_
_space_group_symop_operation_xyz
'x,y,z'
'-x,-y,-z'
'-x,y,-z'
'x,-y,z'
'x+1/2,y+1/2,z'
'-x+1/2,-y+1/2,-z'
'-x+1/2,y+1/2,-z'
'x+1/2,-y+1/2,z'
loop_
_atom_site_label
_atom_site_type_symbol
_atom_site_fract_x
_atom_site_fract_y
_atom_site_fract_z
Dy1 Dy 0.034 0.000 0.195
Dy2 Dy 0.136 0.500 0.980
Dy3 Dy 0.141 0.000 0.449
Ho1 Ho 0.223 0.000 0.748
Al1 Al 0.051 0.500 0.622

---

It is i that is the least stable of them.